The following is a PBE calculation of a relaxed structure of RhAu, from Alexandria.

```
data_RhAu
_chemical_formula_sum 'Rh16 Au16'
_symmetry_space_group_name_H-M 'F d d d'
_symmetry_Int_Tables_number 70
_cell_length_a 4.644
_cell_length_b 8.117
_cell_length_c 14.885
_cell_angle_alpha 90.00
_cell_angle_beta 90.00
_cell_angle_gamma 90.00
loop_
_symmetry_equiv_pos_as_xyz
'x,y,z'
'-x,-y,-z'
'-x+1/4,-y+1/4,z'
'x+1/4,y+1/4,-z'
'x,-y+1/4,-z+1/4'
'-x,y+1/4,z+1/4'
'-x+1/4,y,-z+1/4'
'x+1/4,-y,z+1/4'
'x,y+1/2,z+1/2'
'-x,-y+1/2,-z+1/2'
'-x+1/4,-y+3/4,z+1/2'
'x+1/4,y+3/4,-z+1/2'
'x,-y+3/4,-z+3/4'
'-x,y+3/4,z+3/4'
'-x+1/4,y+1/2,-z+3/4'
'x+1/4,-y+1/2,z+3/4'
'x+1/2,y,z+1/2'
'-x+1/2,-y,-z+1/2'
'-x+3/4,-y+1/4,z+1/2'
'x+3/4,y+1/4,-z+1/2'
'x+1/2,-y+1/4,-z+3/4'
'-x+1/2,y+1/4,z+3/4'
'-x+3/4,y,-z+3/4'
'x+3/4,-y,z+3/4'
'x+1/2,y+1/2,z'
'-x+1/2,-y+1/2,-z'
'-x+3/4,-y+3/4,z'
'x+3/4,y+3/4,-z'
'x+1/2,-y+3/4,-z+1/4'
'-x+1/2,y+3/4,z+1/4'
'-x+3/4,y+1/2,-z+1/4'
'x+3/4,-y+1/2,z+1/4'
loop_
_atom_site_label
_atom_site_fract_x
_atom_site_fract_y
_atom_site_fract_z
Rh1 0.125 0.125 0.040
Au1 0.125 0.289 0.625
```

* calculated density: 14.20 g/cm³
* E_form: 376.8 meV/atom